Record 1
Material: K4LiI2
Method: DFT, PBE
State: optimized geometry

Computed properties:
Raw formation energy in eV/atom: -0.5442

Cell: 6.614 6.614 10.324 Å, 71.32 71.32 90.00°
Fractional positions:
K 0.500 0.000 0.000
K 0.196 0.196 0.607
K 0.804 0.804 0.393
K 0.000 0.500 0.000
Li 0.000 0.000 0.000
I 0.619 0.619 0.762
I 0.381 0.381 0.238

Record 2
Material: YSc2Ta
Method: DFT, PBE
State: optimized geometry

Computed properties:
Energy above the most stable polymorph in this dataset in meV/atom: 103.5
Calculated formation energy in eV per atom: 0.261

Cell: 5.609 5.609 3.163 Å, 90.00 90.00 110.21°
Fractional positions:
Y 0.000 0.500 0.500
Sc 0.500 0.500 0.000
Sc 0.000 0.000 0.000
Ta 0.500 0.000 0.500

Record 3
Material: Ag3S
Method: DFT, PBE
State: optimized geometry

Computed properties:
Raw formation energy in eV/atom: 0.1534

Cell: 4.139 4.139 5.109 Å, 113.89 113.89 90.00°
Fractional positions:
Ag 0.250 0.750 0.500
Ag 0.750 0.250 0.500
Ag 0.500 0.500 0.000
S 0.000 0.000 0.000

Record 4
Material: Zr3Ga2Ni7
Method: DFT, PBE
State: optimized geometry

Computed properties:
Calculated formation energy in eV per atom: -0.450

Cell: 5.006 5.006 8.321 Å, 72.50 72.50 60.00°
Each line ends with the local moment (μB).
Fractional positions:
Ni 0.918 0.414 0.254  0.02
Ni 0.414 0.414 0.254  0.02
Ni 0.414 0.918 0.254  0.02
Ni 0.082 0.586 0.746  0.02
Ni 0.586 0.082 0.746  0.02
Ni 0.586 0.586 0.746  0.02
Ni 0.500 0.500 0.500  0.00
Zr 0.000 0.000 0.000  0.20
Zr 0.861 0.861 0.418  0.04
Zr 0.139 0.139 0.582  0.04
Ga 0.667 0.667 0.000  0.00
Ga 0.333 0.333 0.000  0.00

Record 5
Material: PaTe2O8
Method: DFT, PBE
State: optimized geometry

Computed properties:
Raw formation energy in eV/atom: -1.4820

Cell: 4.036 6.663 6.663 Å, 120.00 90.00 90.00°
Fractional positions:
O 0.748 0.333 0.667
O 0.252 0.167 0.834
O 0.253 0.667 0.833
O 0.252 0.667 0.333
O 0.748 0.833 0.166
O 0.747 0.333 0.167
O 0.252 0.166 0.333
O 0.748 0.834 0.667
Te 0.744 0.667 0.333
Te 0.256 0.333 0.667
Pa 0.000 0.000 0.000

Record 6
Material: Er2AlGa3Ni4
Method: DFT, PBE
State: optimized geometry

Computed properties:
Calculated formation energy in eV per atom: -0.589

Cell: 3.895 3.895 10.625 Å, 90.00 90.00 90.00°
Fractional positions:
Er 0.000 0.500 0.746
Er 0.500 0.000 0.254
Ni 0.000 0.500 0.359
Ni 0.000 0.000 0.000
Ni 0.500 0.000 0.641
Ni 0.500 0.500 0.000
Ga 0.500 0.000 0.867
Ga 0.000 0.000 0.500
Ga 0.000 0.500 0.133
Al 0.500 0.500 0.500

Record 7
Material: Tb2TcNi
Method: DFT, PBE
State: optimized geometry

Computed properties:
Calculated formation energy in eV per atom: 0.596

Cell: 3.300 3.300 9.438 Å, 79.93 79.93 60.00°
Each line ends with the local moment (μB).
Fractional positions:
Tb 0.096 0.096 0.713  -0.05
Tb 0.904 0.904 0.287  -0.05
Ni 0.500 0.500 0.500  -0.01
Tc 0.000 0.000 0.000  0.95

Record 8
Material: Pr4Nd2Ho5
Method: DFT, PBE
State: optimized geometry

Computed properties:
Energy above the most stable polymorph in this dataset in meV/atom: 161.0
Calculated formation energy in eV per atom: 0.261

Cell: 3.541 9.311 12.632 Å, 111.63 98.06 90.00°
Fractional positions:
Pr 0.404 0.404 0.808
Pr 0.000 0.707 0.000
Pr 0.000 0.293 0.000
Pr 0.596 0.596 0.192
Ho 0.856 0.661 0.711
Ho 0.500 0.000 0.000
Ho 0.144 0.950 0.289
Ho 0.144 0.339 0.289
Ho 0.856 0.050 0.711
Nd 0.269 0.269 0.538
Nd 0.731 0.731 0.462